A geometry-optimized TaTc2RhS structure. Source: Alexandria, functional PBE-GGA.

Output
Space-group type: P4/mmm, No. 123
Energy relative to the elements, uncorrected (meV/atom): 1726
Crystal system: tetragonal
E (eV per cell): -35.431
Total moment (μB per formula unit): 1.91
Density of states at the Fermi level (states/eV/atom): 1.108

a b c (Å): 4.6936 4.8095 4.6936
angles (deg): 90.00 90.00 90.00
Closest atoms and distances in Å follow each position.
Element x y z (fractional)
S 0.5000 0.5000 0.5000  4 Ta 3.32, 8 Tc 3.36
Rh 0.0000 0.0000 0.0000  4 Tc 2.35, 2 Ta 2.40
Tc 0.0000 0.0000 0.5000  2 Rh 2.35
Tc 0.5000 0.0000 0.0000  2 Rh 2.35
Ta 0.0000 0.5000 0.0000  2 Rh 2.40

A geometry-optimized TaTiRh2S structure. Source: Alexandria, functional PBE-GGA.

Output
Space-group type: P4/mmm, No. 123
Energy relative to the elements, uncorrected (meV/atom): 15
Crystal system: tetragonal
E (eV per cell): -38.504
Total moment (μB per formula unit): 0.00
Density of states at the Fermi level (states/eV/atom): 1.143

a b c (Å): 4.3525 4.5443 4.3525
angles (deg): 90.00 90.00 90.00
Closest atoms and distances in Å follow each position.
Element x y z (fractional)
S 0.0000 0.0000 0.0000  4 Rh 2.18, 2 Ta 2.27
Ti 0.5000 0.5000 0.5000  4 Ta 3.08, 8 Rh 3.15
Rh 0.0000 0.0000 0.5000  2 S 2.18
Rh 0.5000 0.0000 0.0000  2 S 2.18
Ta 0.0000 0.5000 0.0000  2 S 2.27

A geometry-optimized Tb2RhS structure. Source: Alexandria, functional PBE-GGA.

Output
Space-group type: Cmcm, No. 63
Excess energy over the best structure of this formula in the dataset (kJ/mol of formula units): 0
Energy relative to the elements, uncorrected (meV/atom): -1405
Crystal system: orthorhombic
E (eV per cell): -52.715
Total moment (μB per formula unit): 0.00
Density of states at the Fermi level (states/eV/atom): 0.519

a b c (Å): 4.0341 3.8753 11.3334
angles (deg): 99.84 90.00 90.00
Closest atoms and distances in Å follow each position.
Element x y z (fractional)
Tb 0.7500 0.6810 0.3620  5 S 2.81-2.82, 1 Rh 3.04
Tb 0.2500 0.3190 0.6380  5 S 2.81-2.82, 1 Rh 3.04
Tb 0.7500 0.9334 0.8668  1 S 2.82, 6 Rh 2.84-3.15
Tb 0.2500 0.0666 0.1332  1 S 2.82, 6 Rh 2.84-3.15
Rh 0.2500 0.4553 0.9106  2 Rh 2.84, 7 Tb 2.84-3.15
Rh 0.7500 0.5447 0.0894  2 Rh 2.84, 7 Tb 2.84-3.15
S 0.2500 0.1927 0.3854  6 Tb 2.81-2.82
S 0.7500 0.8073 0.6146  6 Tb 2.81-2.82

A geometry-optimized Tb2RhS structure. Source: Alexandria, functional PBE-GGA.

Output
Space-group type: R3m, No. 160
Excess energy over the best structure of this formula in the dataset (kJ/mol of formula units): 66
Energy relative to the elements, uncorrected (meV/atom): -1234
Crystal system: trigonal
E (eV per cell): -25.675
Total moment (μB per formula unit): 0.00
Density of states at the Fermi level (states/eV/atom): 0.604

a b c (Å): 3.7996 3.7996 7.5707
angles (deg): 75.48 75.48 60.00
Closest atoms and distances in Å follow each position.
Element x y z (fractional)
Tb 0.0828 0.0828 0.7516  3 S 2.83, 3 Rh 2.85
Tb 0.2501 0.2501 0.2498  3 Rh 2.85, 3 S 2.85
Rh 0.4999 0.4999 0.5001  6 Tb 2.85
S 0.6673 0.6673 0.9985  6 Tb 2.83-2.85

A geometry-optimized TbRhS structure. Source: Alexandria, functional PBE-GGA.

Output
Space-group type: Cmmm, No. 65
Energy relative to the elements, uncorrected (meV/atom): -910
Crystal system: orthorhombic
E (eV per cell): -37.676
Total moment (μB per formula unit): 0.00
Density of states at the Fermi level (states/eV/atom): 0.678

a b c (Å): 3.7690 5.8182 5.8182
angles (deg): 100.79 90.00 90.00
Closest atoms and distances in Å follow each position.
Element x y z (fractional)
S 0.0000 0.0000 0.0000  2 Rh 2.35
S 0.5000 0.5000 0.5000  4 Rh 2.32, 2 Tb 2.58
Rh 0.0000 0.6832 0.6832  3 S 2.32-2.35
Rh 0.0000 0.3168 0.3168  3 S 2.32-2.35
Tb 0.5000 0.2126 0.7874  3 S 2.58-2.68
Tb 0.5000 0.7874 0.2126  3 S 2.58-2.68

A geometry-optimized Tb4RhS3 structure. Source: Alexandria, functional PBE-GGA.

Output
Space-group type: Cmmm, No. 65
Energy relative to the elements, uncorrected (meV/atom): -1658
Crystal system: orthorhombic
E (eV per cell): -51.519
Total moment (μB per formula unit): 0.00
Density of states at the Fermi level (states/eV/atom): 0.691

a b c (Å): 3.9151 6.9362 6.9362
angles (deg): 108.90 90.00 90.00
Closest atoms and distances in Å follow each position.
Element x y z (fractional)
Rh 0.5000 0.0000 0.0000  6 Tb 2.77-2.80
S 0.0000 0.0000 0.5000  6 Tb 2.81-2.82
S 0.5000 0.5000 0.5000  6 Tb 2.85
S 0.0000 0.5000 0.0000  6 Tb 2.81-2.82
Tb 0.0000 0.2427 0.2427  2 Rh 2.77, 4 S 2.82-2.85
Tb 0.5000 0.7522 0.2478  1 Rh 2.80, 5 S 2.81-2.85
Tb 0.0000 0.7573 0.7573  2 Rh 2.77, 4 S 2.82-2.85
Tb 0.5000 0.2478 0.7522  1 Rh 2.80, 5 S 2.81-2.85

A geometry-optimized Tb6Rh2S structure. Source: Alexandria, functional PBE-GGA.

Output
Space-group type: P2_1/c, No. 14
Energy relative to the elements, uncorrected (meV/atom): -830
Crystal system: monoclinic
E (eV per cell): -108.172
Total moment (μB per formula unit): 0.00
Density of states at the Fermi level (states/eV/atom): 0.967

a b c (Å): 6.5041 7.2217 9.9814
angles (deg): 90.00 88.25 90.00
Closest atoms and distances in Å follow each position.
Element x y z (fractional)
Tb 0.1508 0.0475 0.2461  1 S 2.71, 2 Rh 2.79-2.86
Tb 0.1808 0.3317 0.5710  1 S 2.77, 2 Rh 2.86-2.94
Tb 0.1601 0.3195 0.9270  1 S 2.69, 2 Rh 2.81-2.98
Tb 0.3399 0.8195 0.5730  1 S 2.69, 2 Rh 2.81-2.98
Tb 0.3192 0.8317 0.9290  1 S 2.77, 2 Rh 2.86-2.94
Tb 0.3492 0.5475 0.2539  1 S 2.71, 2 Rh 2.79-2.86
Tb 0.8492 0.9525 0.7539  1 S 2.71, 2 Rh 2.79-2.86
Tb 0.8192 0.6683 0.4290  1 S 2.77, 2 Rh 2.86-2.94
Tb 0.8399 0.6805 0.0730  1 S 2.69, 2 Rh 2.81-2.98
Tb 0.6601 0.1805 0.4270  1 S 2.69, 2 Rh 2.81-2.98
Tb 0.6808 0.1683 0.0710  1 S 2.77, 2 Rh 2.86-2.94
Tb 0.6508 0.4525 0.7461  1 S 2.71, 2 Rh 2.79-2.86
Rh 0.0525 0.6125 0.7571  6 Tb 2.79-2.98
Rh 0.4475 0.1125 0.7429  6 Tb 2.79-2.98
Rh 0.5525 0.8875 0.2571  6 Tb 2.79-2.98
Rh 0.9475 0.3875 0.2429  6 Tb 2.79-2.98
S 0.5000 0.5000 0.0000  6 Tb 2.69-2.77
S 0.0000 0.0000 0.5000  6 Tb 2.69-2.77

A geometry-optimized Tb2RhS structure. Source: Alexandria, functional PBE-GGA.

Output
Space-group type: R-3m, No. 166
Excess energy over the best structure of this formula in the dataset (kJ/mol of formula units): 34
Energy relative to the elements, uncorrected (meV/atom): -1315
Crystal system: trigonal
E (eV per cell): -26.001
Total moment (μB per formula unit): 0.00
Density of states at the Fermi level (states/eV/atom): 0.453

a b c (Å): 3.8698 3.8698 7.3619
angles (deg): 74.76 74.76 60.00
Closest atoms and distances in Å follow each position.
Element x y z (fractional)
Rh 0.5000 0.5000 0.5000  6 Tb 2.81
S 0.0000 0.0000 0.0000  6 Tb 2.87
Tb 0.7526 0.7526 0.7423  3 Rh 2.81, 3 S 2.87
Tb 0.2474 0.2474 0.2577  3 Rh 2.81, 3 S 2.87

Q: Which value of energy relative to the elements, uncorrected does entry 7 give?
A: -830 meV/atom

Q: The highest density of states at the Fermi level belongs to which entry?
A: TaTiRh2S

Q: Which formula does entry 5 have?
A: TbRhS